The following is a GGA+U calculation of a relaxed NaYW2O crystal, from the Alexandria database.

Results
The space group is P4/mmm, No. 123. As for the volume: 165.8 Å³/cell. The crystal system is tetragonal. The uncorrected energy is -4.572 eV per atom.

```
NaYW2O
1.0
6.292 0.000 0.000
0.000 6.292 0.000
0.000 0.000 4.188
Na Y W O
1 1 2 1
Cartesian
0.000 0.000 0.000
3.146 3.146 2.094
0.000 3.146 2.094
3.146 0.000 2.094
3.146 3.146 0.000
```